[1]
The following is a PBE-GGA calculation of a relaxed PrCuSnS3 crystal, from the Open Quantum Materials Database.

Structure (POSCAR):
```
PrCuSnS3
1.0
-2.989 7.193 -2.023
-2.938 -1.836 -2.186
-9.366 -0.285 12.823
Cu Pr S Sn
4 4 12 4
Direct
0.624 0.750 0.129 Cu
0.124 0.750 0.371 Cu
0.876 0.250 0.629 Cu
0.376 0.250 0.871 Cu
0.240 0.750 0.041 Pr
0.740 0.750 0.459 Pr
0.260 0.250 0.541 Pr
0.760 0.250 0.959 Pr
0.880 0.750 0.064 S
0.485 0.250 0.098 S
0.190 0.750 0.223 S
0.690 0.750 0.277 S
0.985 0.250 0.402 S
0.380 0.750 0.436 S
0.620 0.250 0.564 S
0.015 0.750 0.598 S
0.310 0.250 0.723 S
0.810 0.250 0.777 S
0.515 0.750 0.902 S
0.120 0.250 0.936 S
0.909 0.250 0.231 Sn
0.409 0.250 0.269 Sn
0.591 0.750 0.731 Sn
0.091 0.750 0.769 Sn
```

## Properties
Size of the total moment ... 0.00 μB per cell
Space-group type ... No. 62

[2]
The following is a PBE-GGA calculation of a relaxed PrCuSnS3 crystal, from the Open Quantum Materials Database.

Structure (POSCAR):
```
PrCuSnS3
1.0
-8.132 4.728 0.485
-8.990 1.841 -2.123
-0.457 -5.204 5.912
Cu Pr S Sn
2 2 6 2
Direct
0.464 0.464 0.301 Cu
0.536 0.536 0.699 Cu
0.839 0.839 0.419 Pr
0.161 0.161 0.581 Pr
0.500 0.500 0.000 S
0.337 0.337 0.167 S
0.677 0.677 0.337 S
0.000 0.000 0.500 S
0.323 0.323 0.663 S
0.663 0.663 0.833 S
0.116 0.116 0.060 Sn
0.884 0.884 0.940 Sn
```

## Properties
Size of the total moment ... 0.00 μB per cell
Space-group type ... No. 12

[3]
The following is a PBE-GGA calculation of a relaxed PrCuSnS3 crystal, from the Open Quantum Materials Database.

Structure (POSCAR):
```
PrCuSnS3
1.0
10.725 0.000 0.000
0.000 4.005 0.000
0.000 0.000 12.536
Cu Pr S Sn
4 4 12 4
Direct
0.763 0.250 0.219 Cu
0.263 0.250 0.281 Cu
0.737 0.750 0.719 Cu
0.237 0.750 0.781 Cu
0.512 0.750 0.218 Pr
0.012 0.750 0.282 Pr
0.988 0.250 0.718 Pr
0.488 0.250 0.782 Pr
0.611 0.250 0.087 S
0.951 0.250 0.121 S
0.249 0.750 0.175 S
0.749 0.750 0.325 S
0.451 0.250 0.379 S
0.111 0.250 0.413 S
0.889 0.750 0.587 S
0.549 0.750 0.621 S
0.251 0.250 0.675 S
0.751 0.250 0.825 S
0.049 0.750 0.879 S
0.389 0.750 0.913 S
0.194 0.250 0.002 Sn
0.694 0.250 0.498 Sn
0.306 0.750 0.502 Sn
0.806 0.750 0.998 Sn
```

## Properties
Size of the total moment ... 0.00 μB per cell
Space-group type ... No. 62

no.,final energy (eV per atom)
1,-5.1814
2,-5.0838
3,-5.1571